{"formula": "Ce2SiPb", "functional": "PBE", "state": "relaxed", "crystal_system": "tetragonal", "spacegroup": "P4/mmm, No. 123", "de_polymorph_ev_per_fu": 0.43, "e_tot_ev_per_atom": -5.603, "vol_a3_per_cell": 102.3, "raw_formation_energy_ev_per_atom": -0.353, "lattice_angstrom": [[4.837, 0.000, 0.000], [0.000, 4.837, 0.000], [0.000, 0.000, 4.371]], "species": ["Ce", "Ce", "Si", "Pb"], "fractional_positions": [[0.000, 0.500, 0.000], [0.500, 0.000, 0.000], [0.000, 0.000, 0.500], [0.500, 0.500, 0.500]]}


{"formula": "Ce5SiPb3", "functional": "PBE", "state": "relaxed", "crystal_system": "hexagonal", "spacegroup": "P6_3/mcm, No. 193", "e_tot_ev_per_atom": -5.632, "vol_a3_per_cell": 518.3, "raw_formation_energy_ev_per_atom": -0.497, "lattice_angstrom": [[9.622, 0.000, 0.000], [-4.811, 8.333, 0.000], [0.000, 0.000, 6.465]], "species": ["Ce", "Ce", "Ce", "Ce", "Ce", "Ce", "Ce", "Ce", "Ce", "Ce", "Si", "Si", "Pb", "Pb", "Pb", "Pb", "Pb", "Pb"], "fractional_positions": [[0.000, 0.253, 0.250], [0.000, 0.747, 0.750], [0.253, 0.000, 0.250], [0.253, 0.253, 0.750], [0.333, 0.667, 0.000], [0.333, 0.667, 0.500], [0.667, 0.333, 0.000], [0.667, 0.333, 0.500], [0.747, 0.000, 0.750], [0.747, 0.747, 0.250], [0.000, 0.000, 0.000], [0.000, 0.000, 0.500], [0.000, 0.386, 0.750], [0.000, 0.614, 0.250], [0.386, 0.000, 0.750], [0.386, 0.386, 0.250], [0.614, 0.000, 0.250], [0.614, 0.614, 0.750]]}


{"formula": "Ce6SiPb2", "functional": "PBE", "state": "relaxed", "crystal_system": "hexagonal", "spacegroup": "P-62m, No. 189", "e_tot_ev_per_atom": -5.747, "vol_a3_per_cell": 261.1, "raw_formation_energy_ev_per_atom": -0.364, "lattice_angstrom": [[7.897, 0.000, 0.000], [-3.949, 6.839, 0.000], [0.000, 0.000, 4.834]], "species": ["Ce", "Ce", "Ce", "Ce", "Ce", "Ce", "Si", "Pb", "Pb"], "fractional_positions": [[0.000, 0.408, 0.000], [0.000, 0.798, 0.500], [0.202, 0.202, 0.500], [0.408, 0.000, 0.000], [0.592, 0.592, 0.000], [0.798, 0.000, 0.500], [0.000, 0.000, 0.000], [0.333, 0.667, 0.500], [0.667, 0.333, 0.500]]}


{"formula": "Ce5Si2Pb", "functional": "PBE", "state": "relaxed", "crystal_system": "tetragonal", "spacegroup": "I4/mcm, No. 140", "e_tot_ev_per_atom": -6.002, "vol_a3_per_cell": 438.2, "raw_formation_energy_ev_per_atom": -0.474, "lattice_angstrom": [[-3.907, 3.907, 7.176], [3.907, -3.907, 7.176], [3.907, 3.907, -7.176]], "species": ["Ce", "Ce", "Ce", "Ce", "Ce", "Ce", "Ce", "Ce", "Ce", "Ce", "Si", "Si", "Si", "Si", "Pb", "Pb"], "fractional_positions": [[0.000, 0.000, 0.000], [0.032, 0.532, 0.840], [0.192, 0.032, 0.500], [0.308, 0.808, 0.840], [0.468, 0.308, 0.500], [0.500, 0.500, 0.000], [0.532, 0.692, 0.500], [0.692, 0.192, 0.160], [0.808, 0.968, 0.500], [0.968, 0.468, 0.160], [0.122, 0.378, 0.500], [0.378, 0.878, 0.257], [0.622, 0.122, 0.743], [0.878, 0.622, 0.500], [0.250, 0.250, 0.000], [0.750, 0.750, 0.000]]}


{"formula": "Ce5Si2Pb2", "functional": "PBE", "state": "relaxed", "crystal_system": "orthorhombic", "spacegroup": "Cmce, No. 64", "e_tot_ev_per_atom": -5.828, "vol_a3_per_cell": 495.2, "raw_formation_energy_ev_per_atom": -0.503, "lattice_angstrom": [[7.888, -3.961, 0.000], [7.888, 3.961, 0.000], [0.000, 0.000, 7.926]], "species": ["Ce", "Ce", "Ce", "Ce", "Ce", "Ce", "Ce", "Ce", "Ce", "Ce", "Si", "Si", "Si", "Si", "Pb", "Pb", "Pb", "Pb"], "fractional_positions": [[0.000, 0.000, 0.000], [0.064, 0.688, 0.685], [0.188, 0.564, 0.185], [0.312, 0.936, 0.685], [0.436, 0.812, 0.185], [0.500, 0.500, 0.500], [0.564, 0.188, 0.815], [0.688, 0.064, 0.315], [0.812, 0.436, 0.815], [0.936, 0.312, 0.315], [0.109, 0.891, 0.389], [0.391, 0.609, 0.889], [0.609, 0.391, 0.111], [0.891, 0.109, 0.611], [0.222, 0.222, 0.000], [0.278, 0.278, 0.500], [0.722, 0.722, 0.500], [0.778, 0.778, 0.000]]}


{"formula": "Ce2SiPb", "functional": "PBE", "state": "relaxed", "crystal_system": "tetragonal", "spacegroup": "P4/mmm, No. 123", "de_polymorph_ev_per_fu": 0.00, "e_tot_ev_per_atom": -5.710, "vol_a3_per_cell": 102.7, "raw_formation_energy_ev_per_atom": -0.460, "lattice_angstrom": [[3.441, 0.000, 0.000], [0.000, 3.441, 0.000], [0.000, 0.000, 8.675]], "species": ["Ce", "Ce", "Si", "Pb"], "fractional_positions": [[0.000, 0.000, 0.213], [0.000, 0.000, 0.787], [0.500, 0.500, 0.000], [0.500, 0.500, 0.500]]}


{"formula": "Ce2SmPb9", "functional": "PBE", "state": "relaxed", "crystal_system": "tetragonal", "spacegroup": "P4/mmm, No. 123", "e_tot_ev_per_atom": -4.510, "vol_a3_per_cell": 355.0, "formation_enthalpy_0k_ev_per_atom": -0.35, "lattice_angstrom": [[4.909, 0.000, 0.000], [0.000, 4.909, 0.000], [0.000, 0.000, 14.734]], "species": ["Ce", "Ce", "Sm", "Pb", "Pb", "Pb", "Pb", "Pb", "Pb", "Pb", "Pb", "Pb"], "fractional_positions": [[0.000, 0.000, 0.165], [0.000, 0.000, 0.835], [0.000, 0.000, 0.500], [0.000, 0.500, 0.000], [0.000, 0.500, 0.333], [0.000, 0.500, 0.667], [0.500, 0.000, 0.000], [0.500, 0.000, 0.333], [0.500, 0.000, 0.667], [0.500, 0.500, 0.167], [0.500, 0.500, 0.500], [0.500, 0.500, 0.833]]}


{"formula": "CeSmPb", "functional": "PBE", "state": "relaxed", "crystal_system": "monoclinic", "spacegroup": "C2/m, No. 12", "de_polymorph_ev_per_fu": 0.00, "e_tot_ev_per_atom": -5.202, "vol_a3_per_cell": 183.1, "formation_enthalpy_0k_ev_per_atom": -0.41, "lattice_angstrom": [[3.183, -3.189, 0.000], [3.183, 3.189, 0.000], [-0.152, 0.000, 9.022]], "species": ["Ce", "Ce", "Sm", "Sm", "Pb", "Pb"], "fractional_positions": [[0.221, 0.779, 0.000], [0.779, 0.221, 0.000], [0.250, 0.250, 0.358], [0.750, 0.750, 0.642], [0.256, 0.256, 0.722], [0.744, 0.744, 0.278]]}